The following is a DFT calculation (PBE) of an optimized crystal structure of CaGaHg.

Values from the calculation:
* E above lowest polymorph: 0.05 eV per formula unit
* ΔE_f: -0.469 eV per atom
* uncorrected energy: -6.74 eV for the cell shown
* crystal system: hexagonal

abc: 3.714 4.723 4.723
angles: 120.00 90.00 90.00
Fractional coordinates of all 3 atoms:
1 Ca 0.667 0.667 0.333
2 Hg 0.167 0.333 0.667
3 Ga 0.166 0.000 0.000

The following is a DFT calculation (PBE) of an optimized crystal structure of NaCe3Dy2Te6.

Values from the calculation:
* ΔE_f (raw): -1.3147 eV/atom
* uncorrected energy: -62.95 eV for the cell shown
* crystal system: monoclinic

abc: 4.422 8.954 9.970
angles: 103.19 102.81 90.00
Fractional coordinates of all 12 atoms:
1 Na 0.500 0.000 0.000
2 Dy 0.832 0.661 0.664
3 Dy 0.168 0.339 0.336
4 Ce 0.836 0.167 0.671
5 Ce 0.164 0.833 0.329
6 Ce 0.500 0.500 0.000
7 Te 0.995 0.752 0.991
8 Te 0.332 0.421 0.663
9 Te 0.668 0.579 0.337
10 Te 0.005 0.248 0.009
11 Te 0.666 0.093 0.332
12 Te 0.334 0.907 0.668

The following is a DFT calculation (PBE) of an optimized crystal structure of CaPmPrIr.

Values from the calculation:
* ΔE_f: -0.087 eV per atom
* uncorrected energy: -20.74 eV for the cell shown
* crystal system: cubic

abc: 5.272 5.272 5.272
angles: 60.00 60.00 60.00
Fractional coordinates of all 4 atoms:
1 Pm 0.250 0.250 0.250
2 Ir 0.000 0.000 0.000
3 Ca 0.500 0.500 0.500
4 Pr 0.750 0.750 0.750

The following is a DFT calculation (PBE) of an optimized crystal structure of Ba3PaCu2O9.

Values from the calculation:
* ΔE_f (raw): -2.1085 eV/atom
* uncorrected energy: -99.71 eV for the cell shown
* crystal system: trigonal

abc: 5.825 5.825 7.268
angles: 90.00 90.00 120.00
Fractional coordinates of all 15 atoms:
1 O 0.341 0.170 0.675
2 O 0.170 0.830 0.325
3 O 0.500 0.000 0.000
4 O 0.500 0.500 0.000
5 O 0.830 0.659 0.675
6 O 0.000 0.500 0.000
7 O 0.170 0.341 0.325
8 O 0.659 0.830 0.325
9 O 0.830 0.170 0.675
10 Cu 0.667 0.333 0.840
11 Cu 0.333 0.667 0.160
12 Ba 0.333 0.667 0.699
13 Ba 0.667 0.333 0.301
14 Ba 0.000 0.000 0.000
15 Pa 0.000 0.000 0.500

The following is a DFT calculation (PBE) of an optimized crystal structure of Tb5Er2Mg5.

Values from the calculation:
* E above lowest polymorph: 0.46 eV per formula unit
* ΔE_f: 0.003 eV per atom
* uncorrected energy: -40.22 eV for the cell shown
* crystal system: monoclinic

abc: 5.330 6.461 15.968
angles: 132.17 90.01 114.37
Fractional coordinates of all 12 atoms:
1 Tb 0.500 0.000 0.500
2 Tb 0.643 0.286 0.987
3 Tb 0.792 0.584 0.271
4 Tb 0.208 0.416 0.729
5 Tb 0.357 0.714 0.013
6 Mg 0.000 0.000 0.000
7 Mg 0.224 0.449 0.532
8 Mg 0.776 0.551 0.468
9 Mg 0.613 0.226 0.772
10 Mg 0.387 0.774 0.228
11 Er 0.924 0.848 0.752
12 Er 0.076 0.152 0.248

The following is a DFT calculation (PBE) of an optimized crystal structure of BaSc3.

Values from the calculation:
* E above lowest polymorph: 0.56 eV per formula unit
* ΔE_f: 0.375 eV per atom
* uncorrected energy: -77.66 eV for the cell shown
* crystal system: hexagonal

abc: 7.067 7.067 11.177
angles: 90.00 90.00 120.00
Fractional coordinates of all 16 atoms:
1 Sc 0.355 0.178 0.250
2 Sc 0.500 0.500 0.000
3 Sc 0.000 0.500 0.500
4 Sc 0.645 0.822 0.750
5 Sc 0.500 0.000 0.000
6 Sc 0.000 0.500 0.000
7 Sc 0.822 0.178 0.250
8 Sc 0.822 0.645 0.250
9 Sc 0.500 0.000 0.500
10 Sc 0.500 0.500 0.500
11 Sc 0.178 0.355 0.750
12 Sc 0.178 0.822 0.750
13 Ba 0.333 0.667 0.250
14 Ba 0.000 0.000 0.500
15 Ba 0.667 0.333 0.750
16 Ba 0.000 0.000 0.000

The following is a DFT calculation (PBE) of an optimized crystal structure of HoMgCuSn.

Values from the calculation:
* ΔE_f: -0.304 eV per atom
* uncorrected energy: -15.49 eV for the cell shown
* crystal system: cubic

abc: 4.960 4.960 4.960
angles: 60.00 60.00 60.00
Fractional coordinates of all 4 atoms:
1 Cu 0.000 0.000 0.000
2 Mg 0.250 0.250 0.250
3 Sn 0.500 0.500 0.500
4 Ho 0.750 0.750 0.750

The following is a DFT calculation (PBE) of an optimized crystal structure of ZrMn2CdCo.

Values from the calculation:
* ΔE_f: 1.701 eV per atom
* uncorrected energy: -26.40 eV for the cell shown
* crystal system: tetragonal

abc: 4.632 5.430 4.632
angles: 90.00 90.00 90.00
Fractional coordinates of all 5 atoms:
1 Mn 0.000 0.000 0.500
2 Mn 0.500 0.000 0.000
3 Cd 0.000 0.500 0.000
4 Zr 0.000 0.000 0.000
5 Co 0.500 0.500 0.500

Repeat the second record exactly.
The following is a DFT calculation (PBE) of an optimized crystal structure of NaCe3Dy2Te6.

Values from the calculation:
* ΔE_f (raw): -1.3147 eV/atom
* uncorrected energy: -62.95 eV for the cell shown
* crystal system: monoclinic

abc: 4.422 8.954 9.970
angles: 103.19 102.81 90.00
Fractional coordinates of all 12 atoms:
1 Na 0.500 0.000 0.000
2 Dy 0.832 0.661 0.664
3 Dy 0.168 0.339 0.336
4 Ce 0.836 0.167 0.671
5 Ce 0.164 0.833 0.329
6 Ce 0.500 0.500 0.000
7 Te 0.995 0.752 0.991
8 Te 0.332 0.421 0.663
9 Te 0.668 0.579 0.337
10 Te 0.005 0.248 0.009
11 Te 0.666 0.093 0.332
12 Te 0.334 0.907 0.668